(1)
{
  "formula": "SrSb2Rh",
  "functional": "meta-GGA SCAN",
  "state": "single point on PBEsol structure",
  "e_form_raw_mev_per_atom": -758,
  "mass_density_g_cm3": 7.3,
  "dft_energy_ev_per_atom": -33.4001,
  "magmom_total_mub_per_cell": 0.0,
  "spacegroup": "C2/m",
  "volume_a3_per_atom": 24.81,
  "dos_ef_per_ev_cell": 1.28,
  "cell": [[3.753, -2.163, 0.000], [3.753, 2.163, 0.000], [-2.490, 0.000, 6.114]],
  "species": ["Sr", "Sb", "Sb", "Rh"],
  "frac_coords": [[0.000, 0.000, 0.000], [0.221, 0.221, 0.664], [0.779, 0.779, 0.336], [0.500, 0.500, 0.500]]
}



(2)
{
  "formula": "Sn2Te2Pd",
  "functional": "meta-GGA SCAN",
  "state": "single point on PBEsol structure",
  "e_form_raw_mev_per_atom": 290,
  "mass_density_g_cm3": 7.7,
  "dft_energy_ev_per_atom": -35.5338,
  "magmom_total_mub_per_cell": 0.0,
  "spacegroup": "I4/mmm",
  "volume_a3_per_atom": 25.99,
  "dos_ef_per_ev_cell": 2.85,
  "cell": [[-1.982, 1.982, 8.273], [1.982, -1.982, 8.273], [1.982, 1.982, -8.273]],
  "species": ["Sn", "Sn", "Te", "Te", "Pd"],
  "frac_coords": [[0.250, 0.750, 0.500], [0.750, 0.250, 0.500], [0.087, 0.087, 0.000], [0.913, 0.913, 0.000], [0.500, 0.500, 0.000]]
}



(3)
{
  "formula": "ZnSnSeN2",
  "functional": "meta-GGA SCAN",
  "state": "single point on PBEsol structure",
  "e_form_raw_mev_per_atom": 1146,
  "mass_density_g_cm3": 5.2,
  "dft_energy_ev_per_atom": -16.4734,
  "magmom_total_mub_per_cell": 2.4,
  "spacegroup": "P4/mmm",
  "volume_a3_per_atom": 18.44,
  "dos_ef_per_ev_cell": 2.53,
  "cell": [[4.017, 0.000, 0.000], [0.000, 4.017, 0.000], [0.000, 0.000, 5.713]],
  "species": ["Zn", "Sn", "Se", "N", "N"],
  "frac_coords": [[0.000, 0.000, 0.000], [0.500, 0.500, 0.500], [0.500, 0.500, 0.000], [0.000, 0.500, 0.500], [0.500, 0.000, 0.500]]
}



(4)
{
  "formula": "BaSrSn2O6",
  "functional": "meta-GGA SCAN",
  "state": "single point on PBEsol structure",
  "e_form_raw_mev_per_atom": -2416,
  "polymorph_energy_mev_per_atom": 0,
  "mass_density_g_cm3": 6.7,
  "dft_energy_ev_per_atom": -19.5217,
  "magmom_total_mub_per_cell": 0.0,
  "spacegroup": "P4/mmm",
  "volume_a3_per_atom": 13.77,
  "dos_ef_per_ev_cell": 0.00,
  "cell": [[4.099, 0.000, 0.000], [0.000, 4.099, 0.000], [0.000, 0.000, 8.194]],
  "species": ["Ba", "Sr", "Sn", "Sn", "O", "O", "O", "O", "O", "O"],
  "frac_coords": [[0.000, 0.000, 0.000], [0.000, 0.000, 0.500], [0.500, 0.500, 0.253], [0.500, 0.500, 0.747], [0.000, 0.500, 0.257], [0.000, 0.500, 0.743], [0.500, 0.000, 0.257], [0.500, 0.000, 0.743], [0.500, 0.500, 0.000], [0.500, 0.500, 0.500]]
}



(5)
{
  "formula": "SrSbTe2N",
  "functional": "meta-GGA SCAN",
  "state": "single point on PBEsol structure",
  "e_form_raw_mev_per_atom": -62,
  "polymorph_energy_mev_per_atom": 0,
  "mass_density_g_cm3": 5.8,
  "dft_energy_ev_per_atom": -28.7278,
  "magmom_total_mub_per_cell": 0.3,
  "spacegroup": "P4/mmm",
  "volume_a3_per_atom": 27.54,
  "dos_ef_per_ev_cell": 2.65,
  "cell": [[5.850, 0.000, 0.000], [0.000, 5.850, 0.000], [0.000, 0.000, 4.024]],
  "species": ["Sr", "Sb", "Te", "Te", "N"],
  "frac_coords": [[0.000, 0.000, 0.000], [0.500, 0.500, 0.500], [0.000, 0.500, 0.500], [0.500, 0.000, 0.500], [0.500, 0.500, 0.000]]
}



(6)
{
  "formula": "LiZnIn2",
  "functional": "meta-GGA SCAN",
  "state": "single point on PBEsol structure",
  "mass_density_g_cm3": 6.3,
  "formation_energy_mev_per_atom": -85.5,
  "dft_energy_ev_per_atom": -20.7550,
  "magmom_total_mub_per_cell": 0.0,
  "spacegroup": "C2/m",
  "volume_a3_per_atom": 19.98,
  "dos_ef_per_ev_cell": 1.40,
  "cell": [[4.544, -1.650, 0.000], [4.544, 1.650, 0.000], [-1.060, 0.000, 5.330]],
  "species": ["Li", "Zn", "In", "In"],
  "frac_coords": [[0.000, 0.000, 0.000], [0.500, 0.500, 0.500], [0.247, 0.247, 0.750], [0.753, 0.753, 0.250]]
}